# 1
# SrGe | Alexandria | GGA-PBE | optimized geometry
data_SrGe
_cell_length_a 4.831
_cell_length_b 14.095
_cell_length_c 6.888
_cell_angle_alpha 90.00
_cell_angle_beta 90.00
_cell_angle_gamma 90.00
_space_group_name_H-M_alt 'C m c m'
_space_group_IT_number 63
_space_group_name_Hall '-C 2c 2'
loop_
_atom_site_label
_atom_site_fract_x
_atom_site_fract_y
_atom_site_fract_z
Sr1 0.000 0.046 0.250
Sr2 0.000 0.226 0.750
Ge1 0.000 0.408 0.061
# Total moment, μB/atom: 0.000
# Calculated formation energy, eV/f.u.: -1.230
# DOS(E_F), states/eV/f.u.: 0.58

# 2
# SrGe4 | Alexandria | GGA-PBE | optimized geometry
data_SrGe4
_cell_length_a 5.551
_cell_length_b 5.551
_cell_length_c 5.551
_cell_angle_alpha 90.00
_cell_angle_beta 90.00
_cell_angle_gamma 90.00
_space_group_name_H-M_alt 'P m -3 m'
_space_group_IT_number 221
_space_group_name_Hall '-P 4 2 3'
loop_
_atom_site_label
_atom_site_fract_x
_atom_site_fract_y
_atom_site_fract_z
Sr1 0.000 0.000 0.000
Ge1 0.000 0.000 0.500
Ge2 0.500 0.500 0.500
# Total moment, μB/atom: 0.000
# Calculated formation energy, eV/f.u.: 6.629
# DOS(E_F), states/eV/f.u.: 7.33

# 3
# SrGe | Alexandria | GGA-PBE | optimized geometry
data_SrGe
_cell_length_a 4.551
_cell_length_b 4.551
_cell_length_c 22.955
_cell_angle_alpha 90.00
_cell_angle_beta 90.00
_cell_angle_gamma 90.00
_space_group_name_H-M_alt 'I 41/a m d'
_space_group_IT_number 141
loop_
_space_group_symop_operation_xyz
'x,y,z'
'-x,-y,-z'
'-y+1/4,x+3/4,z+1/4'
'y+1/4,-x+3/4,-z+1/4'
'-x+1/2,-y,z+1/2'
'x+1/2,y,-z+1/2'
'y+1/4,-x+1/4,z+3/4'
'-y+1/4,x+1/4,-z+3/4'
'x,-y,-z'
'-x,y,z'
'-y+1/4,-x+1/4,-z+3/4'
'y+1/4,x+1/4,z+3/4'
'-x+1/2,y,-z+1/2'
'x+1/2,-y,z+1/2'
'y+1/4,x+3/4,-z+1/4'
'-y+1/4,-x+3/4,z+1/4'
'x+1/2,y+1/2,z+1/2'
'-x+1/2,-y+1/2,-z+1/2'
'-y+3/4,x+1/4,z+3/4'
'y+3/4,-x+1/4,-z+3/4'
'-x,-y+1/2,z'
'x,y+1/2,-z'
'y+3/4,-x+3/4,z+1/4'
'-y+3/4,x+3/4,-z+1/4'
'x+1/2,-y+1/2,-z+1/2'
'-x+1/2,y+1/2,z+1/2'
'-y+3/4,-x+3/4,-z+1/4'
'y+3/4,x+3/4,z+1/4'
'-x,y+1/2,-z'
'x,-y+1/2,z'
'y+3/4,x+1/4,-z+3/4'
'-y+3/4,-x+1/4,z+3/4'
loop_
_atom_site_label
_atom_site_fract_x
_atom_site_fract_y
_atom_site_fract_z
Sr1 0.000 0.250 0.068
Ge1 0.000 0.250 0.216
# Total moment, μB/atom: 0.001
# Calculated formation energy, eV/f.u.: -1.181
# DOS(E_F), states/eV/f.u.: 0.73

# 4
# SrGe3 | Alexandria | GGA-PBE | optimized geometry
data_SrGe3
_cell_length_a 4.414
_cell_length_b 4.414
_cell_length_c 11.089
_cell_angle_alpha 90.00
_cell_angle_beta 90.00
_cell_angle_gamma 90.00
_space_group_name_H-M_alt 'I 4/m m m'
_space_group_IT_number 139
_space_group_name_Hall '-I 4 2'
loop_
_atom_site_label
_atom_site_fract_x
_atom_site_fract_y
_atom_site_fract_z
Sr1 0.000 0.000 0.000
Ge1 0.000 0.000 0.285
Ge2 0.000 0.000 0.500
# Total moment, μB/atom: 0.000
# Calculated formation energy, eV/f.u.: -0.141
# DOS(E_F), states/eV/f.u.: 1.99

# 5
# Sr5Ge | Alexandria | GGA-PBE | optimized geometry
data_Sr5Ge
_cell_length_a 5.024
_cell_length_b 17.422
_cell_length_c 5.865
_cell_angle_alpha 90.00
_cell_angle_beta 90.00
_cell_angle_gamma 90.00
_space_group_name_H-M_alt 'C m m m'
_space_group_IT_number 65
_space_group_name_Hall '-C 2 2'
loop_
_atom_site_label
_atom_site_fract_x
_atom_site_fract_y
_atom_site_fract_z
Sr1 0.000 0.000 0.000
Sr2 0.000 0.134 0.500
Sr3 0.000 0.335 0.000
Ge1 0.000 0.500 0.500
# Total moment, μB/atom: 0.000
# Calculated formation energy, eV/f.u.: -0.508
# DOS(E_F), states/eV/f.u.: 3.42

# 6
# SrGe4 | Alexandria | GGA-PBE | optimized geometry
data_SrGe4
_cell_length_a 4.178
_cell_length_b 6.666
_cell_length_c 8.235
_cell_angle_alpha 90.00
_cell_angle_beta 104.47
_cell_angle_gamma 90.00
_space_group_name_H-M_alt 'P 1 21/m 1'
_space_group_IT_number 11
_space_group_name_Hall '-P 2yb'
loop_
_atom_site_label
_atom_site_fract_x
_atom_site_fract_y
_atom_site_fract_z
Sr1 0.112 0.250 0.224
Ge1 0.091 0.750 0.181
Ge2 0.303 0.059 0.607
Ge3 0.500 0.000 0.000
# Total moment, μB/atom: 0.000
# Calculated formation energy, eV/f.u.: -0.725
# DOS(E_F), states/eV/f.u.: 2.22

# 7
# SrGe | Alexandria | GGA-PBE | optimized geometry
data_SrGe
_cell_length_a 6.497
_cell_length_b 6.497
_cell_length_c 6.256
_cell_angle_alpha 90.00
_cell_angle_beta 90.00
_cell_angle_gamma 90.00
_space_group_name_H-M_alt 'P 42/m n m'
_space_group_IT_number 136
_space_group_name_Hall '-P 4n 2n'
loop_
_atom_site_label
_atom_site_fract_x
_atom_site_fract_y
_atom_site_fract_z
Sr1 0.190 0.190 0.000
Ge1 0.136 0.136 0.500
# Total moment, μB/atom: 0.000
# Calculated formation energy, eV/f.u.: -0.630
# DOS(E_F), states/eV/f.u.: 1.73

# 8
# SrGe | Alexandria | GGA-PBE | optimized geometry
data_SrGe
_cell_length_a 6.500
_cell_length_b 6.500
_cell_length_c 6.500
_cell_angle_alpha 90.00
_cell_angle_beta 90.00
_cell_angle_gamma 90.00
_space_group_name_H-M_alt 'F m -3 m'
_space_group_IT_number 225
_space_group_name_Hall '-F 4 2 3'
loop_
_atom_site_label
_atom_site_fract_x
_atom_site_fract_y
_atom_site_fract_z
Sr1 0.000 0.000 0.000
Ge1 0.000 0.000 0.500
# Total moment, μB/atom: 0.581
# Calculated formation energy, eV/f.u.: -0.136
# DOS(E_F), states/eV/f.u.: 2.28

# 9
# SrGe | Alexandria | GGA-PBE | optimized geometry
data_SrGe
_cell_length_a 4.416
_cell_length_b 14.508
_cell_length_c 15.835
_cell_angle_alpha 90.00
_cell_angle_beta 90.00
_cell_angle_gamma 90.00
_space_group_name_H-M_alt 'F d d d'
_space_group_IT_number 70
loop_
_space_group_symop_operation_xyz
'x,y,z'
'-x,-y,-z'
'-x+1/4,-y+1/4,z'
'x+1/4,y+1/4,-z'
'x,-y+1/4,-z+1/4'
'-x,y+1/4,z+1/4'
'-x+1/4,y,-z+1/4'
'x+1/4,-y,z+1/4'
'x,y+1/2,z+1/2'
'-x,-y+1/2,-z+1/2'
'-x+1/4,-y+3/4,z+1/2'
'x+1/4,y+3/4,-z+1/2'
'x,-y+3/4,-z+3/4'
'-x,y+3/4,z+3/4'
'-x+1/4,y+1/2,-z+3/4'
'x+1/4,-y+1/2,z+3/4'
'x+1/2,y,z+1/2'
'-x+1/2,-y,-z+1/2'
'-x+3/4,-y+1/4,z+1/2'
'x+3/4,y+1/4,-z+1/2'
'x+1/2,-y+1/4,-z+3/4'
'-x+1/2,y+1/4,z+3/4'
'-x+3/4,y,-z+3/4'
'x+3/4,-y,z+3/4'
'x+1/2,y+1/2,z'
'-x+1/2,-y+1/2,-z'
'-x+3/4,-y+3/4,z'
'x+3/4,y+3/4,-z'
'x+1/2,-y+3/4,-z+1/4'
'-x+1/2,y+3/4,z+1/4'
'-x+3/4,y+1/2,-z+1/4'
'x+3/4,-y+1/2,z+1/4'
loop_
_atom_site_label
_atom_site_fract_x
_atom_site_fract_y
_atom_site_fract_z
Sr1 0.125 0.125 0.260
Ge1 0.125 0.041 0.625
# Total moment, μB/atom: 0.000
# Calculated formation energy, eV/f.u.: -0.955
# DOS(E_F), states/eV/f.u.: 0.86

# 10
# SrGe | Alexandria | GGA-PBE | optimized geometry
data_SrGe
_cell_length_a 10.8916
_cell_length_b 10.8916
_cell_length_c 4.1838
_cell_angle_alpha 90.00
_cell_angle_beta 90.00
_cell_angle_gamma 120.00
_space_group_name_H-M_alt 'P 63/m m c'
_space_group_IT_number 194
_space_group_name_Hall '-P 6c 2c'
loop_
_atom_site_label
_atom_site_fract_x
_atom_site_fract_y
_atom_site_fract_z
Sr1 0.1979 0.3959 0.2500
Ge1 0.0825 0.5413 0.7500
# Total moment, μB/atom: 0.000
# Calculated formation energy, eV/f.u.: -0.772
# DOS(E_F), states/eV/f.u.: 0.98

# 11
# Sr2Ge | Alexandria | GGA-PBE | optimized geometry
data_Sr2Ge
_cell_length_a 8.173
_cell_length_b 5.188
_cell_length_c 9.670
_cell_angle_alpha 90.00
_cell_angle_beta 90.00
_cell_angle_gamma 90.00
_space_group_name_H-M_alt 'P n m a'
_space_group_IT_number 62
_space_group_name_Hall '-P 2ac 2n'
loop_
_atom_site_label
_atom_site_fract_x
_atom_site_fract_y
_atom_site_fract_z
Sr1 0.018 0.250 0.174
Sr2 0.151 0.250 0.578
Ge1 0.248 0.750 0.398
# Total moment, μB/atom: 0.000
# Calculated formation energy, eV/f.u.: -1.622

Result set for V: 469.0, 171.0, 475.5, 216.1, 513.4, 222.1, 264.0, 274.6, 1014.4, 429.8, 410.0 Å³/cell, one per record in the order listed.
Result set for total DFT energy (no corrections): -3.764, -2.705, -3.740, -3.919, -2.256, -4.175, -3.465, -3.218, -3.627, -3.536, -3.201 eV/atom, one per record in the order listed.
Result set for calculated density: 4.54, 3.67, 4.48, 4.70, 3.30, 5.65, 4.03, 3.88, 4.20, 3.71, 4.02 g/cm³, one per record in the order listed.